The following is a GGA-PBE calculation of a relaxed Sc12Ga5Fe3 crystal, from Alexandria.

Calculated values
Electronic total energy, eV/atom: -5.53
Energy relative to the elements, eV per atom: 0.2938
N(E_F), states/eV per cell: 157.66
Magnetic moment, μB/cell: 0.00

```
data_Sc12Ga5Fe3
_cell_length_a 15.5529
_cell_length_b 15.5529
_cell_length_c 15.5529
_cell_angle_alpha 90.00
_cell_angle_beta 90.00
_cell_angle_gamma 90.00
_space_group_name_H-M_alt 'I a -3 d'
_space_group_IT_number 230
_space_group_name_Hall '-I 4bd 2c 3'
loop_
_atom_site_label
_atom_site_type_symbol
_atom_site_fract_x
_atom_site_fract_y
_atom_site_fract_z
Sc1 Sc 0.0179 0.0885 0.6479
Ga1 Ga 0.0000 0.0000 0.0000
Ga2 Ga 0.0000 0.2500 0.3750
Fe1 Fe 0.0000 0.2500 0.1250
```